Entry 1:
# TaTi2B6 (PBE, relaxed)
data_TaTi2B6
_cell_length_a 5.3054
_cell_length_b 5.3054
_cell_length_c 3.2452
_cell_angle_alpha 90.00
_cell_angle_beta 90.00
_cell_angle_gamma 120.00
_symmetry_space_group_name_H-M 'P 6/m m m'
_symmetry_Int_Tables_number 191
_symmetry_space_group_name_Hall '-P 6 2'
loop_
_atom_site_label
_atom_site_type_symbol
_atom_site_fract_x
_atom_site_fract_y
_atom_site_fract_z
Ta1 Ta 0.0000 0.0000 0.0000
Ti1 Ti 0.3333 0.6667 0.0000
B1 B 0.0000 0.3358 0.5000
# ρ	7.17	Mg/m³
# uncorrected energy	-76.410	eV/cell
# DOS at the Fermi energy	1.270	states/eV/cell

Entry 2:
# AcLaInNi (PBE, relaxed)
data_AcLaInNi
_cell_length_a 7.737
_cell_length_b 7.737
_cell_length_c 7.737
_cell_angle_alpha 90.00
_cell_angle_beta 90.00
_cell_angle_gamma 90.00
_symmetry_space_group_name_H-M 'F -4 3 m'
_symmetry_Int_Tables_number 216
_symmetry_space_group_name_Hall 'F -4 2 3'
loop_
_atom_site_label
_atom_site_type_symbol
_atom_site_fract_x
_atom_site_fract_y
_atom_site_fract_z
Ac1 Ac 0.000 0.000 0.000
La1 La 0.000 0.000 0.500
In1 In 0.250 0.250 0.750
Ni1 Ni 0.250 0.250 0.250
# ρ	7.74	Mg/m³
# uncorrected energy	-73.182	eV/cell
# DOS at the Fermi energy	15.644	states/eV/cell

Entry 3:
# LaNdN (PBE, relaxed)
data_LaNdN
_cell_length_a 6.349
_cell_length_b 3.648
_cell_length_c 6.593
_cell_angle_alpha 90.00
_cell_angle_beta 91.45
_cell_angle_gamma 90.00
_symmetry_space_group_name_H-M 'P 1 21/m 1'
_symmetry_Int_Tables_number 11
_symmetry_space_group_name_Hall '-P 2yb'
loop_
_atom_site_label
_atom_site_type_symbol
_atom_site_fract_x
_atom_site_fract_y
_atom_site_fract_z
La1 La 0.092 0.250 0.214
Nd1 Nd 0.413 0.250 0.790
N1 N 0.252 0.750 0.001
# ρ	6.47	Mg/m³
# offset from the most stable computed form	0	meV per atom
# DOS at the Fermi energy	5.231	states/eV/cell

Entry 4:
# YMgTlGa (PBE, relaxed)
data_YMgTlGa
_cell_length_a 4.363
_cell_length_b 4.500
_cell_length_c 4.692
_cell_angle_alpha 90.00
_cell_angle_beta 90.00
_cell_angle_gamma 90.00
_symmetry_space_group_name_H-M 'P m m m'
_symmetry_Int_Tables_number 47
_symmetry_space_group_name_Hall '-P 2 2'
loop_
_atom_site_label
_atom_site_type_symbol
_atom_site_fract_x
_atom_site_fract_y
_atom_site_fract_z
Y1 Y 0.000 0.000 0.000
Mg1 Mg 0.000 0.500 0.500
Tl1 Tl 0.500 0.000 0.500
Ga1 Ga 0.500 0.500 0.000
# ρ	6.98	Mg/m³
# offset from the most stable computed form	0	meV per atom
# DOS at the Fermi energy	1.777	states/eV/cell

Entry 5:
# RbTl2CdPt (PBE, relaxed)
data_RbTl2CdPt
_cell_length_a 5.345
_cell_length_b 5.345
_cell_length_c 6.449
_cell_angle_alpha 90.00
_cell_angle_beta 90.00
_cell_angle_gamma 90.00
_symmetry_space_group_name_H-M 'P 4/m m m'
_symmetry_Int_Tables_number 123
_symmetry_space_group_name_Hall '-P 4 2'
loop_
_atom_site_label
_atom_site_type_symbol
_atom_site_fract_x
_atom_site_fract_y
_atom_site_fract_z
Rb1 Rb 0.000 0.000 0.000
Tl1 Tl 0.000 0.500 0.500
Cd1 Cd 0.500 0.500 0.000
Pt1 Pt 0.000 0.000 0.500
# ρ	7.23	Mg/m³
# offset from the most stable computed form	136	meV per atom
# DOS at the Fermi energy	3.048	states/eV/cell

Entry 6:
# Mn2TlFe (PBE, relaxed)
data_Mn2TlFe
_cell_length_a 6.236
_cell_length_b 6.236
_cell_length_c 6.236
_cell_angle_alpha 90.00
_cell_angle_beta 90.00
_cell_angle_gamma 90.00
_symmetry_space_group_name_H-M 'F -4 3 m'
_symmetry_Int_Tables_number 216
_symmetry_space_group_name_Hall 'F -4 2 3'
loop_
_atom_site_label
_atom_site_type_symbol
_atom_site_fract_x
_atom_site_fract_y
_atom_site_fract_z
Mn1 Mn 0.000 0.000 0.000
Mn2 Mn 0.250 0.250 0.250
Tl1 Tl 0.250 0.250 0.750
Fe1 Fe 0.000 0.000 0.500
# ρ	10.14	Mg/m³
# offset from the most stable computed form	152	meV per atom
# DOS at the Fermi energy	23.638	states/eV/cell

Entry 7:
# Cd2Ru (PBE, relaxed)
data_Cd2Ru
_cell_length_a 8.1579
_cell_length_b 8.1579
_cell_length_c 2.8449
_cell_angle_alpha 90.00
_cell_angle_beta 90.00
_cell_angle_gamma 120.00
_symmetry_space_group_name_H-M 'P -6 2 m'
_symmetry_Int_Tables_number 189
_symmetry_space_group_name_Hall 'P -6 -2'
loop_
_atom_site_label
_atom_site_type_symbol
_atom_site_fract_x
_atom_site_fract_y
_atom_site_fract_z
Cd1 Cd 0.0000 0.3000 0.0000
Cd2 Cd 0.0000 0.6302 0.5000
Ru1 Ru 0.0000 0.0000 0.5000
Ru2 Ru 0.3333 0.6667 0.0000
# ρ	9.90	Mg/m³
# uncorrected energy	-30.219	eV/cell
# DOS at the Fermi energy	5.092	states/eV/cell

Entry 8:
# Sm8Tl2Ag (PBE, relaxed)
data_Sm8Tl2Ag
_cell_length_a 18.311
_cell_length_b 5.376
_cell_length_c 6.886
_cell_angle_alpha 90.00
_cell_angle_beta 93.48
_cell_angle_gamma 90.00
_symmetry_space_group_name_H-M 'C 1 2/m 1'
_symmetry_Int_Tables_number 12
_symmetry_space_group_name_Hall '-C 2y'
loop_
_atom_site_label
_atom_site_type_symbol
_atom_site_fract_x
_atom_site_fract_y
_atom_site_fract_z
Sm1 Sm 0.031 0.000 0.260
Sm2 Sm 0.091 0.500 0.911
Sm3 Sm 0.168 0.500 0.403
Sm4 Sm 0.211 0.000 0.099
Tl1 Tl 0.155 0.000 0.653
Ag1 Ag 0.000 0.500 0.500
# ρ	8.44	Mg/m³
# offset from the most stable computed form	0	meV per atom
# DOS at the Fermi energy	26.480	states/eV/cell

Entry 9:
# Sc6TcBi2 (PBE, relaxed)
data_Sc6TcBi2
_cell_length_a 7.7665
_cell_length_b 7.7665
_cell_length_c 4.0629
_cell_angle_alpha 90.00
_cell_angle_beta 90.00
_cell_angle_gamma 120.00
_symmetry_space_group_name_H-M 'P -6 2 m'
_symmetry_Int_Tables_number 189
_symmetry_space_group_name_Hall 'P -6 -2'
loop_
_atom_site_label
_atom_site_type_symbol
_atom_site_fract_x
_atom_site_fract_y
_atom_site_fract_z
Sc1 Sc 0.0000 0.2309 0.0000
Sc2 Sc 0.0000 0.6135 0.5000
Tc1 Tc 0.0000 0.0000 0.5000
Bi1 Bi 0.3333 0.6667 0.0000
# ρ	6.15	Mg/m³
# uncorrected energy	-60.499	eV/cell
# DOS at the Fermi energy	4.687	states/eV/cell

Entry 10:
# LiPrAlPt (PBE, relaxed)
data_LiPrAlPt
_cell_length_a 6.777
_cell_length_b 6.777
_cell_length_c 6.777
_cell_angle_alpha 90.00
_cell_angle_beta 90.00
_cell_angle_gamma 90.00
_symmetry_space_group_name_H-M 'F -4 3 m'
_symmetry_Int_Tables_number 216
_symmetry_space_group_name_Hall 'F -4 2 3'
loop_
_atom_site_label
_atom_site_type_symbol
_atom_site_fract_x
_atom_site_fract_y
_atom_site_fract_z
Li1 Li 0.000 0.000 0.000
Pr1 Pr 0.250 0.250 0.250
Al1 Al 0.250 0.250 0.750
Pt1 Pt 0.000 0.000 0.500
# ρ	7.89	Mg/m³
# offset from the most stable computed form	0	meV per atom
# DOS at the Fermi energy	21.011	states/eV/cell

Entry 11:
# AcLuZnSb (PBE, relaxed)
data_AcLuZnSb
_cell_length_a 7.667
_cell_length_b 7.667
_cell_length_c 7.667
_cell_angle_alpha 90.00
_cell_angle_beta 90.00
_cell_angle_gamma 90.00
_symmetry_space_group_name_H-M 'F -4 3 m'
_symmetry_Int_Tables_number 216
_symmetry_space_group_name_Hall 'F -4 2 3'
loop_
_atom_site_label
_atom_site_type_symbol
_atom_site_fract_x
_atom_site_fract_y
_atom_site_fract_z
Ac1 Ac 0.000 0.000 0.000
Lu1 Lu 0.000 0.000 0.500
Zn1 Zn 0.250 0.250 0.750
Sb1 Sb 0.250 0.250 0.250
# ρ	8.68	Mg/m³
# uncorrected energy	-63.204	eV/cell
# DOS at the Fermi energy	14.406	states/eV/cell

Entry 12:
# Na2Y2NpSe6 (PBE, relaxed)
data_Na2Y2NpSe6
_cell_length_a 7.181
_cell_length_b 12.403
_cell_length_c 7.452
_cell_angle_alpha 90.00
_cell_angle_beta 108.83
_cell_angle_gamma 90.00
_symmetry_space_group_name_H-M 'C 1 2/m 1'
_symmetry_Int_Tables_number 12
_symmetry_space_group_name_Hall '-C 2y'
loop_
_atom_site_label
_atom_site_type_symbol
_atom_site_fract_x
_atom_site_fract_y
_atom_site_fract_z
Na1 Na 0.000 0.169 0.000
Y1 Y 0.000 0.334 0.500
Np1 Np 0.000 0.000 0.500
Se1 Se 0.239 0.165 0.725
Se2 Se 0.249 0.500 0.725
# ρ	4.94	Mg/m³
# uncorrected energy	-132.266	eV/cell
# DOS at the Fermi energy	10.089	states/eV/cell

Entry 13:
# Cd3SbPd6 (PBE, relaxed)
data_Cd3SbPd6
_cell_length_a 7.747
_cell_length_b 4.759
_cell_length_c 10.111
_cell_angle_alpha 90.00
_cell_angle_beta 111.17
_cell_angle_gamma 90.00
_symmetry_space_group_name_H-M 'P 1 21/m 1'
_symmetry_Int_Tables_number 11
_symmetry_space_group_name_Hall '-P 2yb'
loop_
_atom_site_label
_atom_site_type_symbol
_atom_site_fract_x
_atom_site_fract_y
_atom_site_fract_z
Cd1 Cd 0.036 0.250 0.377
Cd2 Cd 0.130 0.750 0.211
Cd3 Cd 0.273 0.250 0.985
Sb1 Sb 0.450 0.250 0.597
Pd1 Pd 0.041 0.750 0.920
Pd2 Pd 0.162 0.250 0.682
Pd3 Pd 0.253 0.750 0.516
Pd4 Pd 0.344 0.750 0.823
Pd5 Pd 0.362 0.250 0.290
Pd6 Pd 0.435 0.750 0.122
# ρ	10.49	Mg/m³
# uncorrected energy	-83.220	eV/cell
# DOS at the Fermi energy	7.656	states/eV/cell

Entry 14:
# Cd2AgHgF8 (PBE, relaxed)
data_Cd2AgHgF8
_cell_length_a 3.949
_cell_length_b 5.574
_cell_length_c 7.909
_cell_angle_alpha 86.06
_cell_angle_beta 89.77
_cell_angle_gamma 86.02
_symmetry_space_group_name_H-M 'P -1'
_symmetry_Int_Tables_number 2
_symmetry_space_group_name_Hall '-P 1'
loop_
_atom_site_label
_atom_site_type_symbol
_atom_site_fract_x
_atom_site_fract_y
_atom_site_fract_z
Cd1 Cd 0.004 0.010 0.248
Ag1 Ag 0.500 0.500 0.000
Hg1 Hg 0.500 0.500 0.500
F1 F 0.026 0.758 0.517
F2 F 0.062 0.757 0.013
F3 F 0.454 0.284 0.232
F4 F 0.470 0.203 0.731
# ρ	6.57	Mg/m³
# uncorrected energy	-40.612	eV/cell

Entry 15:
# TcHgH2 (PBE, relaxed)
data_TcHgH2
_cell_length_a 5.552
_cell_length_b 5.552
_cell_length_c 5.552
_cell_angle_alpha 90.00
_cell_angle_beta 90.00
_cell_angle_gamma 90.00
_symmetry_space_group_name_H-M 'F m -3 m'
_symmetry_Int_Tables_number 225
_symmetry_space_group_name_Hall '-F 4 2 3'
loop_
_atom_site_label
_atom_site_type_symbol
_atom_site_fract_x
_atom_site_fract_y
_atom_site_fract_z
Tc1 Tc 0.000 0.000 0.000
Hg1 Hg 0.000 0.000 0.500
H1 H 0.250 0.250 0.250
# ρ	11.67	Mg/m³
# offset from the most stable computed form	507	meV per atom
# DOS at the Fermi energy	8.949	states/eV/cell

Entry 16:
# MnIrW2 (PBE, relaxed)
data_MnIrW2
_cell_length_a 2.7889
_cell_length_b 2.7889
_cell_length_c 27.0178
_cell_angle_alpha 90.00
_cell_angle_beta 90.00
_cell_angle_gamma 120.00
_symmetry_space_group_name_H-M 'R -3 m'
_symmetry_Int_Tables_number 166
_symmetry_space_group_name_Hall '-R 3 2"'
loop_
_atom_site_label
_atom_site_type_symbol
_atom_site_fract_x
_atom_site_fract_y
_atom_site_fract_z
Mn1 Mn 0.0000 0.0000 0.0000
Ir1 Ir 0.0000 0.0000 0.5000
W1 W 0.0000 0.0000 0.2498
# ρ	16.83	Mg/m³
# offset from the most stable computed form	214	meV per atom
# DOS at the Fermi energy	10.339	states/eV/cell

Entry 17:
# BaLiIr2F (PBE, relaxed)
data_BaLiIr2F
_cell_length_a 5.438
_cell_length_b 5.438
_cell_length_c 4.879
_cell_angle_alpha 90.00
_cell_angle_beta 90.00
_cell_angle_gamma 90.00
_symmetry_space_group_name_H-M 'P 4/m m m'
_symmetry_Int_Tables_number 123
_symmetry_space_group_name_Hall '-P 4 2'
loop_
_atom_site_label
_atom_site_type_symbol
_atom_site_fract_x
_atom_site_fract_y
_atom_site_fract_z
Ba1 Ba 0.000 0.000 0.000
Li1 Li 0.500 0.500 0.500
Ir1 Ir 0.000 0.500 0.000
F1 F 0.000 0.000 0.500
# ρ	6.30	Mg/m³
# offset from the most stable computed form	669	meV per atom
# DOS at the Fermi energy	5.035	states/eV/cell

Entry 18:
# K2OsW (PBE, relaxed)
data_K2OsW
_cell_length_a 3.586
_cell_length_b 6.104
_cell_length_c 11.553
_cell_angle_alpha 90.00
_cell_angle_beta 90.00
_cell_angle_gamma 90.00
_symmetry_space_group_name_H-M 'I m m 2'
_symmetry_Int_Tables_number 44
_symmetry_space_group_name_Hall 'I 2 -2'
loop_
_atom_site_label
_atom_site_type_symbol
_atom_site_fract_x
_atom_site_fract_y
_atom_site_fract_z
K1 K 0.000 0.000 0.000
K2 K 0.000 0.500 0.213
Os1 Os 0.000 0.500 0.780
W1 W 0.000 0.000 0.408
# ρ	5.94	Mg/m³
# offset from the most stable computed form	370	meV per atom
# DOS at the Fermi energy	4.269	states/eV/cell

Entry 19:
# Ho2Si4IrRh3 (PBE, relaxed)
data_Ho2Si4IrRh3
_cell_length_a 4.110
_cell_length_b 4.110
_cell_length_c 9.815
_cell_angle_alpha 90.00
_cell_angle_beta 90.00
_cell_angle_gamma 90.00
_symmetry_space_group_name_H-M 'P -4 m 2'
_symmetry_Int_Tables_number 115
_symmetry_space_group_name_Hall 'P -4 -2'
loop_
_atom_site_label
_atom_site_type_symbol
_atom_site_fract_x
_atom_site_fract_y
_atom_site_fract_z
Ho1 Ho 0.000 0.500 0.244
Si1 Si 0.000 0.000 0.000
Si2 Si 0.000 0.500 0.631
Si3 Si 0.500 0.500 0.000
Ir1 Ir 0.000 0.000 0.500
Rh1 Rh 0.000 0.500 0.872
Rh2 Rh 0.500 0.500 0.500
# ρ	9.44	Mg/m³
# uncorrected energy	-72.329	eV/cell
# DOS at the Fermi energy	5.094	states/eV/cell

Entry 20:
# SmMg2Sc (PBE, relaxed)
data_SmMg2Sc
_cell_length_a 3.679
_cell_length_b 3.679
_cell_length_c 7.654
_cell_angle_alpha 90.00
_cell_angle_beta 90.00
_cell_angle_gamma 90.00
_symmetry_space_group_name_H-M 'P 4/m m m'
_symmetry_Int_Tables_number 123
_symmetry_space_group_name_Hall '-P 4 2'
loop_
_atom_site_label
_atom_site_type_symbol
_atom_site_fract_x
_atom_site_fract_y
_atom_site_fract_z
Sm1 Sm 0.000 0.000 0.000
Mg1 Mg 0.500 0.500 0.275
Sc1 Sc 0.000 0.000 0.500
# ρ	3.91	Mg/m³
# offset from the most stable computed form	14	meV per atom
# DOS at the Fermi energy	5.980	states/eV/cell